A relaxed MgZnRu crystal, computed with PBE.

D(E_F) = 2.2 states/eV/cell
raw total energy = -12.10 eV per formula unit
DFT formation energy = 0.32 kcal/mol of atoms

a b c (Å): 4.7972 4.7972 4.7972
angles (deg): 146.70 130.52 60.95
Fractional positions:
Mg 0.9972 0.9972 0.0000
Ru 0.3288 0.3288 0.0000
Zn 0.6740 0.6740 0.0000

=====

A relaxed La4Sm2Tl crystal, computed with PBE.

D(E_F) = 9.7 states/eV/cell
raw total energy = -31.64 eV per formula unit
offset from the most stable computed form = 0.057 eV per atom
DFT formation energy = -0.40 kcal/mol of atoms

a b c (Å): 3.6387 8.8695 8.7313
angles (deg): 116.59 102.03 90.00
Fractional positions:
La 0.9194 0.2950 0.8388
La 0.0806 0.7050 0.1612
La 0.6345 0.3972 0.2690
La 0.3655 0.6028 0.7310
Sm 0.7837 0.8604 0.5673
Sm 0.2163 0.1396 0.4327
Tl 0.0000 0.0000 0.0000

=====

A relaxed B5C7 crystal, computed with PBE.

D(E_F) = 2.1 states/eV/cell
raw total energy = -94.08 eV per formula unit
offset from the most stable computed form = 0.065 eV per atom
DFT formation energy = 7.44 kcal/mol of atoms

a b c (Å): 6.1498 6.1498 3.6902
angles (deg): 90.33 90.33 145.31
Fractional positions:
B 0.1888 0.8112 0.5000
B 0.7978 0.6492 0.2230
B 0.3296 0.6704 0.0000
B 0.8277 0.1723 0.5000
B 0.3508 0.2022 0.7770
C 0.4949 0.5051 0.5000
C 0.1749 0.3263 0.2480
C 0.9859 0.4925 0.7619
C 0.5075 0.0141 0.2381
C 0.6747 0.3253 0.0000
C 0.9938 0.0062 0.0000
C 0.6737 0.8251 0.7520

=====

A relaxed Ba2SnBi4Au3 crystal, computed with PBE.

D(E_F) = 3.2 states/eV/cell
raw total energy = -37.62 eV per formula unit
DFT formation energy = -10.17 kcal/mol of atoms

a b c (Å): 5.3176 5.3176 11.1416
angles (deg): 90.00 90.00 90.00
Fractional positions:
Ba 0.5000 0.0000 0.2538
Ba 0.0000 0.5000 0.7462
Sn 0.5000 0.5000 0.5000
Bi 0.5000 0.5000 0.0000
Bi 0.0000 0.0000 0.0000
Bi 0.5000 0.0000 0.6278
Bi 0.0000 0.5000 0.3722
Au 0.0000 0.0000 0.5000
Au 0.5000 0.0000 0.8840
Au 0.0000 0.5000 0.1160

=====

Question: D(E_F) of number 2 (La4Sm2Tl)?
Answer: 9.7 states/eV/cell

=====

Please write out number 1 again, unchanged.
A relaxed MgZnRu crystal, computed with PBE.

D(E_F) = 2.2 states/eV/cell
raw total energy = -12.10 eV per formula unit
DFT formation energy = 0.32 kcal/mol of atoms

a b c (Å): 4.7972 4.7972 4.7972
angles (deg): 146.70 130.52 60.95
Fractional positions:
Mg 0.9972 0.9972 0.0000
Ru 0.3288 0.3288 0.0000
Zn 0.6740 0.6740 0.0000